# PmUAsO2 (PBE, optimized geometry)
# energy	-8.587	eV/atom
# E_form (uncorrected)	-2466	meV per atom
data_PmUAsO2
_chemical_formula_sum 'Pm2 U2 As2 O4'
_symmetry_space_group_name_H-M 'I 4 m m'
_symmetry_Int_Tables_number 107
_symmetry_space_group_name_Hall 'I 4 -2'
_cell_length_a 3.826
_cell_length_b 3.826
_cell_length_c 12.335
_cell_angle_alpha 90.00
_cell_angle_beta 90.00
_cell_angle_gamma 90.00
loop_
_atom_site_label
_atom_site_type_symbol
_atom_site_fract_x
_atom_site_fract_y
_atom_site_fract_z
_atom_site_occupancy
Pm1 Pm 0.000 0.000 0.000 1
U1 U 0.000 0.000 0.710 1
As1 As 0.000 0.000 0.355 1
O1 O 0.000 0.500 0.115 1